Below is a PBEsol-optimized structure of LiRe2Hg, with properties calculated at the meta-GGA SCAN level.

Summary:
E: -52.3539 eV per atom
density of states at the Fermi level: 2.09 states/eV per cell
calculated formation energy: 3.33 eV/f.u.
space group: P4/mmm (123)

a = 3.171 Å, b = 3.171 Å, c = 5.961 Å
α = 90.00°, β = 90.00°, γ = 90.00°
Positions (direct):
Li  0.000  0.000  0.000
Re  0.500  0.500  0.194
Re  0.500  0.500  0.806
Hg  0.000  0.000  0.500


Below is a PBEsol-optimized structure of Li2ReHg, with properties calculated at the meta-GGA SCAN level.

Summary:
E: -35.5778 eV per atom
density of states at the Fermi level: 2.40 states/eV per cell
calculated formation energy: 1.73 eV/f.u.
space group: P4/mmm (123)

a = 4.616 Å, b = 4.616 Å, c = 2.667 Å
α = 90.00°, β = 90.00°, γ = 90.00°
Positions (direct):
Li  0.000  0.500  0.000
Li  0.500  0.000  0.000
Re  0.000  0.000  0.500
Hg  0.500  0.500  0.500


Below is a PBEsol-optimized structure of LiRe2Hg, with properties calculated at the meta-GGA SCAN level.

Summary:
E: -53.0057 eV per atom
density of states at the Fermi level: 2.51 states/eV per cell
calculated formation energy: 0.73 eV/f.u.
space group: P4mm (99)

a = 3.048 Å, b = 3.048 Å, c = 6.593 Å
α = 90.00°, β = 90.00°, γ = 90.00°
Positions (direct):
Li  0.000  0.000  0.000
Re  0.000  0.000  0.449
Re  0.500  0.500  0.247
Hg  0.500  0.500  0.776


Below is a PBEsol-optimized structure of Li2ReHg, with properties calculated at the meta-GGA SCAN level.

Summary:
E: -35.6436 eV per atom
density of states at the Fermi level: 5.04 states/eV per cell
calculated formation energy: 1.47 eV/f.u.
space group: Cm (8)

a = 9.848 Å, b = 2.612 Å, c = 5.003 Å
α = 90.00°, β = 99.54°, γ = 90.00°
Positions (direct):
Li  0.000  0.000  0.000
Li  0.238  0.000  0.791
Li  0.500  0.500  0.000
Li  0.738  0.500  0.791
Re  0.487  0.000  0.496
Re  0.987  0.500  0.496
Hg  0.236  0.500  0.305
Hg  0.736  0.000  0.305


Below is a PBEsol-optimized structure of Li2ReHg, with properties calculated at the meta-GGA SCAN level.

Summary:
E: -35.5952 eV per atom
density of states at the Fermi level: 3.14 states/eV per cell
calculated formation energy: 1.66 eV/f.u.
space group: Pmm2 (25)

a = 2.592 Å, b = 4.479 Å, c = 5.464 Å
α = 90.00°, β = 90.00°, γ = 90.00°
Positions (direct):
Li  0.000  0.000  0.000
Li  0.500  0.500  0.250
Re  0.000  0.000  0.494
Hg  0.500  0.500  0.733


Below is a PBEsol-optimized structure of Li2HgRh, with properties calculated at the meta-GGA SCAN level.

Summary:
E: -26.9228 eV per atom
density of states at the Fermi level: 1.24 states/eV per cell
calculated formation energy: -0.97 eV/f.u.
space group: P4/mmm (123)

a = 3.178 Å, b = 3.178 Å, c = 5.615 Å
α = 90.00°, β = 90.00°, γ = 90.00°
Positions (direct):
Li  0.000  0.000  0.221
Li  0.000  0.000  0.779
Hg  0.500  0.500  0.500
Rh  0.500  0.500  0.000


Below is a PBEsol-optimized structure of Li2HgRh, with properties calculated at the meta-GGA SCAN level.

Summary:
E: -26.7071 eV per atom
density of states at the Fermi level: 5.55 states/eV per cell
calculated formation energy: -0.11 eV/f.u.
space group: I-42d (122)

a = 6.852 Å, b = 6.852 Å, c = 5.310 Å
α = 90.00°, β = 90.00°, γ = 90.00°
Positions (direct):
Li  0.236  0.250  0.125
Li  0.250  0.736  0.375
Li  0.250  0.764  0.875
Li  0.264  0.250  0.625
Li  0.736  0.750  0.625
Li  0.750  0.236  0.875
Li  0.750  0.264  0.375
Li  0.764  0.750  0.125
Hg  0.000  0.000  0.500
Hg  0.000  0.500  0.750
Hg  0.500  0.000  0.250
Hg  0.500  0.500  0.000
Rh  0.000  0.000  0.000
Rh  0.000  0.500  0.250
Rh  0.500  0.000  0.750
Rh  0.500  0.500  0.500


Below is a PBEsol-optimized structure of Li2HgRh, with properties calculated at the meta-GGA SCAN level.

Summary:
E: -26.9221 eV per atom
density of states at the Fermi level: 2.11 states/eV per cell
calculated formation energy: -0.97 eV/f.u.
space group: Imm2 (44)

a = 3.388 Å, b = 4.128 Å, c = 8.276 Å
α = 90.00°, β = 90.00°, γ = 90.00°
Positions (direct):
Li  0.000  0.000  0.000
Li  0.000  0.500  0.259
Li  0.500  0.000  0.759
Li  0.500  0.500  0.500
Hg  0.000  0.500  0.750
Hg  0.500  0.000  0.250
Rh  0.000  0.000  0.514
Rh  0.500  0.500  0.014


Below is a PBEsol-optimized structure of Li2HgRh, with properties calculated at the meta-GGA SCAN level.

Summary:
E: -26.8963 eV per atom
density of states at the Fermi level: 1.56 states/eV per cell
calculated formation energy: -0.87 eV/f.u.
space group: P2/m (10)

a = 2.914 Å, b = 4.387 Å, c = 4.760 Å
α = 90.00°, β = 93.54°, γ = 90.00°
Positions (direct):
Li  0.250  0.000  0.222
Li  0.750  0.000  0.778
Hg  0.000  0.500  0.500
Rh  0.500  0.500  0.000


Below is a PBEsol-optimized structure of Li2HgRh, with properties calculated at the meta-GGA SCAN level.

Summary:
E: -26.9687 eV per atom
density of states at the Fermi level: 2.27 states/eV per cell
calculated formation energy: -1.16 eV/f.u.
space group: Immm (71)

a = 3.275 Å, b = 4.378 Å, c = 8.250 Å
α = 90.00°, β = 90.00°, γ = 90.00°
Positions (direct):
Li  0.000  0.000  0.241
Li  0.000  0.000  0.759
Li  0.500  0.500  0.259
Li  0.500  0.500  0.741
Hg  0.000  0.500  0.000
Hg  0.500  0.000  0.500
Rh  0.000  0.500  0.500
Rh  0.500  0.000  0.000


Below is a PBEsol-optimized structure of Li2HgRh, with properties calculated at the meta-GGA SCAN level.

Summary:
E: -26.9313 eV per atom
density of states at the Fermi level: 4.04 states/eV per cell
calculated formation energy: -1.01 eV/f.u.
space group: F-43m (216)

a = 6.237 Å, b = 6.237 Å, c = 6.237 Å
α = 90.00°, β = 90.00°, γ = 90.00°
Positions (direct):
Li  0.000  0.000  0.000
Li  0.000  0.500  0.500
Li  0.250  0.250  0.250
Li  0.250  0.750  0.750
Li  0.500  0.000  0.500
Li  0.500  0.500  0.000
Li  0.750  0.250  0.750
Li  0.750  0.750  0.250
Hg  0.250  0.250  0.750
Hg  0.250  0.750  0.250
Hg  0.750  0.250  0.250
Hg  0.750  0.750  0.750
Rh  0.000  0.000  0.500
Rh  0.000  0.500  0.000
Rh  0.500  0.000  0.000
Rh  0.500  0.500  0.500


Below is a PBEsol-optimized structure of Li2HgRh, with properties calculated at the meta-GGA SCAN level.

Summary:
E: -26.9654 eV per atom
density of states at the Fermi level: 3.29 states/eV per cell
calculated formation energy: -1.14 eV/f.u.
space group: I4/mmm (139)

a = 3.915 Å, b = 3.915 Å, c = 7.519 Å
α = 90.00°, β = 90.00°, γ = 90.00°
Positions (direct):
Li  0.000  0.500  0.250
Li  0.000  0.500  0.750
Li  0.500  0.000  0.250
Li  0.500  0.000  0.750
Hg  0.000  0.000  0.000
Hg  0.500  0.500  0.500
Rh  0.000  0.000  0.500
Rh  0.500  0.500  0.000


Below is a PBEsol-optimized structure of Li2HgRh, with properties calculated at the meta-GGA SCAN level.

Summary:
E: -26.9628 eV per atom
density of states at the Fermi level: 1.19 states/eV per cell
calculated formation energy: -1.13 eV/f.u.
space group: Pmmm (47)

a = 3.313 Å, b = 4.120 Å, c = 4.333 Å
α = 90.00°, β = 90.00°, γ = 90.00°
Positions (direct):
Li  0.000  0.000  0.000
Li  0.500  0.000  0.500
Hg  0.000  0.500  0.500
Rh  0.500  0.500  0.000


Below is a PBEsol-optimized structure of LiTcHgRh2, with properties calculated at the meta-GGA SCAN level.

Summary:
E: -33.8197 eV per atom
density of states at the Fermi level: 2.48 states/eV per cell
calculated formation energy: 4.06 eV/f.u.
space group: P4/mmm (123)

a = 4.144 Å, b = 4.144 Å, c = 4.258 Å
α = 90.00°, β = 90.00°, γ = 90.00°
Positions (direct):
Li  0.000  0.000  0.000
Tc  0.500  0.500  0.500
Hg  0.000  0.000  0.500
Rh  0.000  0.500  0.000
Rh  0.500  0.000  0.000


Below is a PBEsol-optimized structure of LiHgS3, with properties calculated at the meta-GGA SCAN level.

Summary:
E: -19.3604 eV per atom
density of states at the Fermi level: 4.98 states/eV per cell
space group: Pm-3m (221)

a = 4.446 Å, b = 4.446 Å, c = 4.446 Å
α = 90.00°, β = 90.00°, γ = 90.00°
Positions (direct):
Li  0.000  0.000  0.000
Hg  0.500  0.500  0.500
S  0.000  0.000  0.500
S  0.000  0.500  0.000
S  0.500  0.000  0.000


Below is a PBEsol-optimized structure of LiHgS2, with properties calculated at the meta-GGA SCAN level.

Summary:
E: -22.7988 eV per atom
density of states at the Fermi level: 7.04 states/eV per cell
space group: R-3m (166)

a = 3.746 Å, b = 3.746 Å, c = 21.363 Å
α = 90.00°, β = 90.00°, γ = 120.00°
Positions (direct):
Li  0.000  0.000  0.000
Li  0.333  0.667  0.667
Li  0.667  0.333  0.333
Hg  0.000  0.000  0.500
Hg  0.333  0.667  0.167
Hg  0.667  0.333  0.833
S  0.000  0.000  0.392
S  0.000  0.000  0.608
S  0.333  0.667  0.059
S  0.333  0.667  0.274
S  0.667  0.333  0.726
S  0.667  0.333  0.941


Below is a PBEsol-optimized structure of Li3HgS, with properties calculated at the meta-GGA SCAN level.

Summary:
E: -17.8230 eV per atom
density of states at the Fermi level: 2.08 states/eV per cell
space group: Pm-3m (221)

a = 4.583 Å, b = 4.583 Å, c = 4.583 Å
α = 90.00°, β = 90.00°, γ = 90.00°
Positions (direct):
Li  0.000  0.000  0.500
Li  0.000  0.500  0.000
Li  0.500  0.000  0.000
Hg  0.500  0.500  0.500
S  0.000  0.000  0.000


Below is a PBEsol-optimized structure of LiHg2Sb, with properties calculated at the meta-GGA SCAN level.

Summary:
E: -44.1364 eV per atom
density of states at the Fermi level: 2.72 states/eV per cell
space group: C2/m (12)

a = 5.875 Å, b = 10.982 Å, c = 3.180 Å
α = 90.00°, β = 118.86°, γ = 90.00°
Positions (direct):
Li  0.000  0.000  0.000
Li  0.500  0.500  0.000
Hg  0.250  0.250  0.000
Hg  0.250  0.750  0.000
Hg  0.750  0.250  0.000
Hg  0.750  0.750  0.000
Sb  0.000  0.500  0.000
Sb  0.500  0.000  0.000


Below is a PBEsol-optimized structure of Li2HgSb, with properties calculated at the meta-GGA SCAN level.

Summary:
E: -27.9440 eV per atom
density of states at the Fermi level: 1.72 states/eV per cell
space group: Imm2 (44)

a = 3.531 Å, b = 4.535 Å, c = 9.897 Å
α = 90.00°, β = 90.00°, γ = 90.00°
Positions (direct):
Li  0.000  0.000  0.000
Li  0.000  0.500  0.241
Li  0.500  0.000  0.741
Li  0.500  0.500  0.500
Hg  0.000  0.000  0.515
Hg  0.500  0.500  0.015
Sb  0.000  0.500  0.758
Sb  0.500  0.000  0.258


Below is a PBEsol-optimized structure of Li2HgSb, with properties calculated at the meta-GGA SCAN level.

Summary:
E: -27.9694 eV per atom
density of states at the Fermi level: 0.89 states/eV per cell
space group: Pmm2 (25)

a = 3.367 Å, b = 4.134 Å, c = 5.757 Å
α = 90.00°, β = 90.00°, γ = 90.00°
Positions (direct):
Li  0.000  0.000  0.000
Li  0.500  0.500  0.294
Hg  0.500  0.500  0.821
Sb  0.000  0.000  0.498


Below is a PBEsol-optimized structure of LiHg2Sb, with properties calculated at the meta-GGA SCAN level.

Summary:
E: -44.1473 eV per atom
density of states at the Fermi level: 1.28 states/eV per cell
space group: Pmm2 (25)

a = 3.208 Å, b = 4.424 Å, c = 6.233 Å
α = 90.00°, β = 90.00°, γ = 90.00°
Positions (direct):
Li  0.000  0.000  0.000
Hg  0.000  0.000  0.525
Hg  0.500  0.500  0.745
Sb  0.500  0.500  0.212


Below is a PBEsol-optimized structure of LiHg2Sb, with properties calculated at the meta-GGA SCAN level.

Summary:
E: -44.1343 eV per atom
density of states at the Fermi level: 5.74 states/eV per cell
space group: I-42d (122)

a = 4.323 Å, b = 4.323 Å, c = 19.965 Å
α = 90.00°, β = 90.00°, γ = 90.00°
Positions (direct):
Li  0.000  0.000  0.000
Li  0.000  0.500  0.250
Li  0.500  0.000  0.750
Li  0.500  0.500  0.500
Hg  0.232  0.250  0.125
Hg  0.250  0.732  0.375
Hg  0.250  0.768  0.875
Hg  0.268  0.250  0.625
Hg  0.732  0.750  0.625
Hg  0.750  0.232  0.875
Hg  0.750  0.268  0.375
Hg  0.768  0.750  0.125
Sb  0.000  0.000  0.500
Sb  0.000  0.500  0.750
Sb  0.500  0.000  0.250
Sb  0.500  0.500  0.000


Below is a PBEsol-optimized structure of LiHg2Sb, with properties calculated at the meta-GGA SCAN level.

Summary:
E: -44.2019 eV per atom
density of states at the Fermi level: 0.98 states/eV per cell
space group: P4/mmm (123)

a = 3.119 Å, b = 3.119 Å, c = 8.933 Å
α = 90.00°, β = 90.00°, γ = 90.00°
Positions (direct):
Li  0.000  0.000  0.000
Hg  0.500  0.500  0.205
Hg  0.500  0.500  0.795
Sb  0.000  0.000  0.500


Below is a PBEsol-optimized structure of LiHgSb, with properties calculated at the meta-GGA SCAN level.

Summary:
E: -36.1693 eV per atom
density of states at the Fermi level: 1.20 states/eV per cell
space group: P3m1 (156)

a = 3.313 Å, b = 3.313 Å, c = 6.918 Å
α = 90.00°, β = 90.00°, γ = 120.00°
Positions (direct):
Li  0.000  0.000  0.000
Hg  0.333  0.667  0.293
Sb  0.667  0.333  0.676


Below is a PBEsol-optimized structure of LiHgSb, with properties calculated at the meta-GGA SCAN level.

Summary:
E: -36.2165 eV per atom
density of states at the Fermi level: 2.91 states/eV per cell
space group: Fmm2 (42)

a = 4.488 Å, b = 4.498 Å, c = 12.845 Å
α = 90.00°, β = 90.00°, γ = 90.00°
Positions (direct):
Li  0.000  0.000  0.000
Li  0.000  0.500  0.500
Li  0.500  0.000  0.500
Li  0.500  0.500  0.000
Hg  0.000  0.000  0.642
Hg  0.000  0.500  0.142
Hg  0.500  0.000  0.142
Hg  0.500  0.500  0.642
Sb  0.000  0.000  0.338
Sb  0.000  0.500  0.838
Sb  0.500  0.000  0.838
Sb  0.500  0.500  0.338


Below is a PBEsol-optimized structure of Li2HgSb, with properties calculated at the meta-GGA SCAN level.

Summary:
E: -28.0250 eV per atom
density of states at the Fermi level: 1.13 states/eV per cell
space group: Pmm2 (25)

a = 3.148 Å, b = 4.828 Å, c = 5.017 Å
α = 90.00°, β = 90.00°, γ = 90.00°
Positions (direct):
Li  0.000  0.000  0.000
Li  0.000  0.500  0.392
Hg  0.500  0.500  0.914
Sb  0.500  0.000  0.500


Below is a PBEsol-optimized structure of LiHg2Sb, with properties calculated at the meta-GGA SCAN level.

Summary:
E: -44.1555 eV per atom
density of states at the Fermi level: 2.93 states/eV per cell
space group: I4/mmm (139)

a = 4.395 Å, b = 4.395 Å, c = 8.942 Å
α = 90.00°, β = 90.00°, γ = 90.00°
Positions (direct):
Li  0.000  0.000  0.000
Li  0.500  0.500  0.500
Hg  0.000  0.500  0.250
Hg  0.000  0.500  0.750
Hg  0.500  0.000  0.250
Hg  0.500  0.000  0.750
Sb  0.000  0.000  0.500
Sb  0.500  0.500  0.000


Below is a PBEsol-optimized structure of Li2HgSb, with properties calculated at the meta-GGA SCAN level.

Summary:
E: -27.9605 eV per atom
density of states at the Fermi level: 2.92 states/eV per cell
space group: I-4m2 (119)

a = 4.203 Å, b = 4.203 Å, c = 8.870 Å
α = 90.00°, β = 90.00°, γ = 90.00°
Positions (direct):
Li  0.000  0.000  0.000
Li  0.000  0.500  0.250
Li  0.500  0.000  0.750
Li  0.500  0.500  0.500
Hg  0.000  0.500  0.750
Hg  0.500  0.000  0.250
Sb  0.000  0.000  0.500
Sb  0.500  0.500  0.000


Below is a PBEsol-optimized structure of LiHg2Sb, with properties calculated at the meta-GGA SCAN level.

Summary:
E: -44.1467 eV per atom
density of states at the Fermi level: 3.13 states/eV per cell
space group: Immm (71)

a = 3.150 Å, b = 5.215 Å, c = 10.596 Å
α = 90.00°, β = 90.00°, γ = 90.00°
Positions (direct):
Li  0.000  0.000  0.000
Li  0.500  0.500  0.500
Hg  0.000  0.500  0.282
Hg  0.000  0.500  0.718
Hg  0.500  0.000  0.218
Hg  0.500  0.000  0.782
Sb  0.000  0.000  0.500
Sb  0.500  0.500  0.000


Below is a PBEsol-optimized structure of LiHg2Sb, with properties calculated at the meta-GGA SCAN level.

Summary:
E: -44.1765 eV per atom
density of states at the Fermi level: 1.17 states/eV per cell
space group: P4mm (99)

a = 3.134 Å, b = 3.134 Å, c = 8.950 Å
α = 90.00°, β = 90.00°, γ = 90.00°
Positions (direct):
Li  0.000  0.000  0.000
Hg  0.000  0.000  0.524
Hg  0.500  0.500  0.793
Sb  0.500  0.500  0.227